# 1
The following is a GGA-PBE calculation of a geometry-optimized La3TbCu4 structure, from Alexandria.

* M_tot: 0.000 μB/atom
* space group: P4/mmm
* formation energy from the elements: -15 kJ per mole of atoms
* final energy: -4.63 eV/atom

```
La3TbCu4
1.0
3.6000 0.0000 0.0000
0.0000 3.6000 0.0000
0.0000 0.0000 14.5225
La Tb Cu
3 1 4
Cartesian
0.0000 0.0000 0.0000
0.0000 0.0000 3.7074
0.0000 0.0000 10.8151
0.0000 0.0000 7.2613
1.8000 1.8000 1.8518
1.8000 1.8000 5.6698
1.8000 1.8000 8.8527
1.8000 1.8000 12.6708
```



# 2
The following is a GGA-PBE calculation of a geometry-optimized LaTb3Cu2 structure, from Alexandria.

* M_tot: 0.000 μB/atom
* space group: P4/mmm
* formation energy from the elements: -14 kJ per mole of atoms
* final energy: -4.64 eV/atom

```
LaTb3Cu2
1.0
3.5190 0.0000 0.0000
0.0000 3.5190 0.0000
0.0000 0.0000 12.3758
La Tb Cu
1 3 2
Cartesian
0.0000 0.0000 0.0000
1.7595 1.7595 2.7798
1.7595 1.7595 6.1879
1.7595 1.7595 9.5960
0.0000 0.0000 4.4306
0.0000 0.0000 7.9452
```



# 3
The following is a GGA-PBE calculation of a geometry-optimized LaTb5Cu6 structure, from Alexandria.

* M_tot: 0.000 μB/atom
* space group: P2/m
* formation energy from the elements: -21 kJ per mole of atoms
* final energy: -4.61 eV/atom

```
LaTb5Cu6
1.0
4.9838 0.0000 0.0000
0.0000 6.9730 0.0000
-2.4602 0.0000 7.4984
La Tb Cu
1 5 6
Cartesian
0.0000 0.0000 0.0000
0.0000 3.4865 0.0000
0.0187 0.0000 4.9671
0.0182 3.4865 5.0151
2.5053 3.4865 2.4833
2.5049 0.0000 2.5314
0.0172 1.7814 2.5662
0.0172 5.1916 2.5662
2.4919 1.8501 0.0000
2.4919 5.1229 0.0000
2.5063 1.7814 4.9322
2.5063 5.1916 4.9322
```



# 4
The following is a GGA-PBE calculation of a geometry-optimized LaTb2Cu6 structure, from Alexandria.

* M_tot: 0.000 μB/atom
* space group: P6/mmm
* formation energy from the elements: -23 kJ per mole of atoms
* final energy: -4.54 eV/atom

```
LaTb2Cu6
1.0
7.3915 0.0000 0.0000
-3.6958 6.4012 0.0000
0.0000 0.0000 3.6772
La Tb Cu
1 2 6
Cartesian
0.0000 0.0000 0.0000
0.0000 4.2675 0.0000
3.6958 2.1337 0.0000
-1.2431 2.1531 1.8386
-2.4527 4.2482 1.8386
2.4861 0.0000 1.8386
1.2431 2.1531 1.8386
4.9054 0.0000 1.8386
2.4527 4.2482 1.8386
```



Number 1 is which compound? La3TbCu4